Run P
Material: YSbTe2P
Method: DFT, PBE
State: relaxed

As for the space group: No. 123. Its crystal system is tetragonal.

Cell lengths 5.311, 5.311, 5.057 Å; angles 90.00, 90.00, 90.00 degrees
Element x y z (fractional)
Te (0.000, 0.500, 0.000)
Sb (0.000, 0.000, 0.500)
Y (0.500, 0.500, 0.500)
Te (0.500, 0.000, 0.000)
P (0.000, 0.000, 0.000)

***

Run Q
Material: YSbTe2P
Method: DFT, PBE
State: relaxed

As for the space group: No. 123. Its crystal system is tetragonal.

Cell lengths 5.323, 5.298, 5.323 Å; angles 90.00, 90.00, 90.00 degrees
Element x y z (fractional)
Te (0.000, 0.000, 0.500)
Sb (0.500, 0.500, 0.500)
Y (0.000, 0.500, 0.000)
P (0.000, 0.000, 0.000)
Te (0.500, 0.000, 0.000)

***

Run R
Material: YSbTe2P
Method: DFT, PBE
State: relaxed

As for the space group: No. 123. Its crystal system is tetragonal.

Cell lengths 5.787, 5.787, 5.979 Å; angles 90.00, 90.00, 90.00 degrees
Last column: magnetic moment on the atom in μB.
Element x y z (fractional)
Sb (0.000, 0.000, 0.500)  -0.24
Te (0.000, 0.500, 0.000)  -0.05
Y (0.000, 0.000, 0.000)  0.02
Te (0.500, 0.000, 0.000)  -0.05
P (0.500, 0.500, 0.500)  0.97

***

Energy ordering: run P at the bottom, the next structure 32 meV/atom above.

***

Run P
Material: ZnSbTe2P
Method: DFT, PBE
State: relaxed

As for the space group: No. 123. Its crystal system is tetragonal.

Cell lengths 5.215, 5.215, 5.175 Å; angles 90.00, 90.00, 90.00 degrees
Element x y z (fractional)
Te (0.000, 0.500, 0.000)
P (0.500, 0.500, 0.500)
Zn (0.000, 0.000, 0.000)
Te (0.500, 0.000, 0.000)
Sb (0.000, 0.000, 0.500)

***

Run Q
Material: ZnSbTe2P
Method: DFT, PBE
State: relaxed

As for the space group: No. 123. Its crystal system is tetragonal.

Cell lengths 5.359, 5.359, 5.120 Å; angles 90.00, 90.00, 90.00 degrees
Element x y z (fractional)
Zn (0.500, 0.500, 0.500)
Te (0.000, 0.500, 0.000)
Sb (0.000, 0.000, 0.500)
P (0.000, 0.000, 0.000)
Te (0.500, 0.000, 0.000)

***

Energy ordering: run Q at the bottom, the next structure 283 meV/atom above.

***

Run P
Material: ZrSbTe2P
Method: DFT, PBE
State: relaxed

As for the space group: No. 123. Its crystal system is tetragonal.

Cell lengths 5.528, 5.528, 5.701 Å; angles 90.00, 90.00, 90.00 degrees
Last column: magnetic moment on the atom in μB.
Element x y z (fractional)
Te (0.000, 0.500, 0.000)  -0.03
Sb (0.000, 0.000, 0.500)  -0.20
P (0.500, 0.500, 0.500)  0.91
Te (0.500, 0.000, 0.000)  -0.03
Zr (0.000, 0.000, 0.000)  0.12

***

Run Q
Material: ZrSbTe2P
Method: DFT, PBE
State: relaxed

As for the space group: No. 123. Its crystal system is tetragonal.

Cell lengths 5.193, 5.193, 5.011 Å; angles 90.00, 90.00, 90.00 degrees
Element x y z (fractional)
Sb (0.000, 0.000, 0.500)
Te (0.000, 0.500, 0.000)
P (0.000, 0.000, 0.000)
Zr (0.500, 0.500, 0.500)
Te (0.500, 0.000, 0.000)

***

Energy ordering: run Q at the bottom, the next structure 100 meV/atom above.

***

Run P
Material: ZrSb2TeP
Method: DFT, PBE
State: relaxed

As for the space group: No. 123. Its crystal system is tetragonal.

Cell lengths 5.589, 5.589, 5.488 Å; angles 90.00, 90.00, 90.00 degrees
Last column: magnetic moment on the atom in μB.
Element x y z (fractional)
Te (0.000, 0.000, 0.500)  -0.01
P (0.500, 0.500, 0.500)  0.85
Sb (0.500, 0.000, 0.000)  -0.09
Zr (0.000, 0.000, 0.000)  0.13
Sb (0.000, 0.500, 0.000)  -0.09

***

Run Q
Material: ZrSb2TeP
Method: DFT, PBE
State: relaxed

As for the space group: No. 123. Its crystal system is tetragonal.

Cell lengths 5.063, 5.063, 5.212 Å; angles 90.00, 90.00, 90.00 degrees
Element x y z (fractional)
Sb (0.000, 0.500, 0.000)
Sb (0.500, 0.000, 0.000)
Te (0.000, 0.000, 0.500)
P (0.000, 0.000, 0.000)
Zr (0.500, 0.500, 0.500)

***

Energy ordering: run Q at the bottom, the next structure 162 meV/atom above.

***

Run P
Material: Th3Sb2P
Method: DFT, PBE
State: relaxed

As for the space group: No. 15. Its crystal system is monoclinic.

Cell lengths 7.514, 7.610, 7.610 Å; angles 119.32, 99.66, 99.66 degrees
Element x y z (fractional)
Th (0.509, 0.361, 0.214)
Sb (0.750, 0.763, 0.237)
P (0.750, 0.408, 0.592)
P (0.250, 0.592, 0.408)
Th (0.000, 0.500, 0.000)
Sb (0.750, 0.079, 0.921)
Th (0.009, 0.214, 0.361)
Sb (0.250, 0.237, 0.763)
Th (0.500, 0.000, 0.500)
Sb (0.250, 0.921, 0.079)
Th (0.491, 0.639, 0.786)
Th (0.991, 0.786, 0.639)

***

Run Q
Material: Th3Sb2P
Method: DFT, PBE
State: relaxed

As for the space group: No. 12. Its crystal system is monoclinic.

Cell lengths 7.547, 7.681, 7.542 Å; angles 80.56, 59.98, 70.87 degrees
Element x y z (fractional)
Sb (0.157, 0.500, 0.685)
Sb (0.000, 0.000, 0.000)
Th (0.716, 0.782, 0.000)
Th (0.076, 0.773, 0.355)
P (0.669, 0.000, 0.662)
Th (0.284, 0.218, 0.000)
Th (0.431, 0.773, 0.645)
Th (0.569, 0.227, 0.355)
Sb (0.843, 0.500, 0.315)
Sb (0.500, 0.500, 0.000)
Th (0.924, 0.227, 0.645)
P (0.331, 0.000, 0.338)

***

Energy ordering: run Q at the bottom, the next structure 28 meV/atom above.

***

Run P
Material: Ti3SbP
Method: DFT, PBE
State: relaxed

As for the space group: No. 12. Its crystal system is monoclinic.

Cell lengths 3.661, 7.476, 7.700 Å; angles 67.75, 76.25, 75.83 degrees
Element x y z (fractional)
Ti (0.749, 0.362, 0.141)
Sb (0.164, 0.223, 0.450)
Sb (0.836, 0.777, 0.550)
Ti (0.947, 0.372, 0.734)
Ti (0.053, 0.628, 0.266)
Ti (0.598, 0.036, 0.768)
P (0.388, 0.266, 0.957)
P (0.612, 0.734, 0.043)
Ti (0.251, 0.638, 0.859)
Ti (0.402, 0.964, 0.232)

***

Run Q
Material: Ti3SbP
Method: DFT, PBE
State: relaxed

As for the space group: No. 12. Its crystal system is monoclinic.

Cell lengths 4.476, 7.133, 6.433 Å; angles 85.13, 90.00, 108.29 degrees
Element x y z (fractional)
Ti (0.728, 0.455, 0.853)
Ti (0.022, 0.045, 0.247)
P (0.132, 0.265, 0.924)
P (0.868, 0.735, 0.076)
Sb (0.618, 0.236, 0.371)
Sb (0.382, 0.764, 0.629)
Ti (0.978, 0.955, 0.753)
Ti (0.272, 0.545, 0.147)
Ti (0.816, 0.633, 0.444)
Ti (0.184, 0.367, 0.556)

***

Run R
Material: Ti3SbP
Method: DFT, PBE
State: relaxed

As for the space group: No. 221. Its crystal system is cubic.

Cell lengths 5.050, 5.050, 5.050 Å; angles 90.00, 90.00, 90.00 degrees
Last column: magnetic moment on the atom in μB.
Element x y z (fractional)
Ti (0.000, 0.000, 0.500)  1.54
Ti (0.000, 0.500, 0.000)  1.30
Sb (0.000, 0.000, 0.000)  -0.03
P (0.500, 0.500, 0.500)  -0.10
Ti (0.500, 0.000, 0.000)  1.32

***

Energy ordering: run P at the bottom, the next structure 126 meV/atom above.